(1)
This record from the Alexandria database describes crystalline CaMoOs2 at its relaxed geometry. The functional is GGA-PBE.

a = 2.8059 Å, b = 3.7254 Å, c = 7.1685 Å
α = 90.00°, β = 90.00°, γ = 90.00°
With the nearest neighbours (Å) after each atom.
Space group Pmm2 (No. 25)
Asymmetric unit:
Ca 0.0000 0.0000 0.0000 x1  2 Ca 2.81
Mo 0.5000 0.5000 0.3270 x1  5 Os 2.64-2.77, 2 Mo 2.81
Os 0.0000 0.0000 0.5354 x1  6 Os 2.60-2.81, 4 Mo 2.77
Os 0.5000 0.5000 0.6949 x1  6 Os 2.60-2.81, 1 Mo 2.64

Properties
Relative energy among the computed polymorphs (eV per formula unit): 0.96
Uncorrected energy (eV/atom): -8.27

---

(2)
This record from the Alexandria database describes crystalline CaMo2Os at its relaxed geometry. The functional is GGA-PBE.

a = 9.8398 Å, b = 3.0474 Å, c = 5.2882 Å
α = 90.00°, β = 108.12°, γ = 90.00°
With the nearest neighbours (Å) after each atom.
Space group Cm (No. 8)
Asymmetric unit:
Ca 0.0000 0.0000 0.0000 x2  7 Mo 3.02-3.20, 2 Ca 3.05, 3 Os 3.08-3.18
Mo 0.0063 0.5000 0.5108 x2  2 Mo 2.58, 2 Os 2.58
Mo 0.2865 0.5000 0.3254 x2  2 Mo 2.58, 2 Os 2.64
Os 0.2279 0.0000 0.6857 x2  4 Mo 2.58-2.64

Properties
Relative energy among the computed polymorphs (eV per formula unit): 0.40
Uncorrected energy (eV/atom): -8.17

---

(3)
This record from the Alexandria database describes crystalline CaMoOs2 at its relaxed geometry. The functional is GGA-PBE.

a = 3.0626 Å, b = 4.8408 Å, c = 9.2240 Å
α = 90.00°, β = 90.00°, γ = 90.00°
With the nearest neighbours (Å) after each atom.
Space group Immm (No. 71)
Asymmetric unit:
Ca 0.0000 0.0000 0.0000 x2  4 Mo 2.86, 8 Os 2.97-3.19, 2 Ca 3.06
Mo 0.0000 0.0000 0.5000 x2  4 Os 2.58, 4 Ca 2.86
Os 0.0000 0.5000 0.2245 x4  2 Mo 2.58

Properties
Relative energy among the computed polymorphs (eV per formula unit): 1.09
Uncorrected energy (eV/atom): -8.23

---

(4)
This record from the Alexandria database describes crystalline Ca4MoOs at its relaxed geometry. The functional is GGA-PBE.

a = 8.4947 Å, b = 8.4947 Å, c = 8.4947 Å
α = 90.00°, β = 90.00°, γ = 90.00°
With the nearest neighbours (Å) after each atom.
Space group F-43m (No. 216)
Asymmetric unit:
Ca 0.1241 0.1241 0.3759 x16  6 Ca 2.98-3.02
Mo 0.0000 0.0000 0.0000 x4  12 Ca 3.52, 4 Os 3.68
Os 0.2500 0.2500 0.7500 x4  12 Ca 3.52, 4 Mo 3.68

Properties
Uncorrected energy (eV/atom): -3.56

---

(5)
This record from the Alexandria database describes crystalline CaMoOs2 at its relaxed geometry. The functional is GGA-PBE.

a = 2.7937 Å, b = 2.7937 Å, c = 8.9616 Å
α = 90.00°, β = 90.00°, γ = 90.00°
With the nearest neighbours (Å) after each atom.
Space group P4mm (No. 99)
Asymmetric unit:
Ca 0.0000 0.0000 0.0000 x1  4 Ca 2.79, 4 Os 3.13
Mo 0.5000 0.5000 0.3042 x1  4 Mo 2.79, 4 Os 2.90
Os 0.0000 0.0000 0.5412 x1  8 Os 2.60-2.79, 4 Mo 2.90
Os 0.5000 0.5000 0.7298 x1  8 Os 2.60-2.79

Properties
Relative energy among the computed polymorphs (eV per formula unit): 0.56
Uncorrected energy (eV/atom): -8.36

---

(6)
This record from the Alexandria database describes crystalline Ca3MoOs at its relaxed geometry. The functional is GGA-PBE.

a = 5.4697 Å, b = 5.4697 Å, c = 5.4697 Å
α = 90.00°, β = 90.00°, γ = 90.00°
With the nearest neighbours (Å) after each atom.
Space group Pm-3m (No. 221)
Asymmetric unit:
Ca 0.0000 0.0000 0.5000 x3  2 Os 2.73
Mo 0.5000 0.5000 0.5000 x1  12 Ca 3.87
Os 0.0000 0.0000 0.0000 x1  6 Ca 2.73

Properties
Relative energy among the computed polymorphs (eV per formula unit): 0.00
Uncorrected energy (eV/atom): -4.48

---

How do the records compare in E_form? In the order shown, they have 0.56 0.56 0.59 1.45 0.46 1.13 eV per atom.